# TbYTlPd2 | the Open Quantum Materials Database | PBE-GGA | relaxed
data_TbYTlPd2
_chemical_formula_sum 'Tb2 Y2 Tl2 Pd4'
_cell_length_a 3.6749
_cell_length_b 4.1456
_cell_length_c 15.0857
_cell_angle_alpha 90.00
_cell_angle_beta 90.00
_cell_angle_gamma 90.00
_space_group_name_H-M_alt 'A m m 2'
_space_group_IT_number 38
loop_
_space_group_symop_operation_xyz
'x,y,z'
'-x,-y,z'
'-x,y,z'
'x,-y,z'
'x,y+1/2,z+1/2'
'-x,-y+1/2,z+1/2'
'-x,y+1/2,z+1/2'
'x,-y+1/2,z+1/2'
loop_
_atom_site_label
_atom_site_type_symbol
_atom_site_fract_x
_atom_site_fract_y
_atom_site_fract_z
Tb1 Tb 0.0000 0.0000 0.0000
Y1 Y 0.0000 0.0000 0.2681
Tl1 Tl 0.5000 0.0000 0.6350
Pd1 Pd 0.5000 0.0000 0.4444
Pd2 Pd 0.5000 0.0000 0.8260
# Calculated volume: 22.98 A^3/atom
# Electronic total energy: -55.3 eV for the cell shown


# NpSc4SbC2 | the Open Quantum Materials Database | PBE-GGA | relaxed
data_NpSc4SbC2
_chemical_formula_sum 'Np1 Sc4 Sb1 C2'
_cell_length_a 3.3482
_cell_length_b 3.3482
_cell_length_c 15.5468
_cell_angle_alpha 90.00
_cell_angle_beta 90.00
_cell_angle_gamma 120.00
_space_group_name_H-M_alt 'P -6 m 2'
_space_group_IT_number 187
_space_group_name_Hall 'P -6 2'
loop_
_atom_site_label
_atom_site_type_symbol
_atom_site_fract_x
_atom_site_fract_y
_atom_site_fract_z
Np1 Np 0.0000 0.0000 0.0000
Sc1 Sc 0.0000 0.0000 0.3433
Sc2 Sc 0.6667 0.3333 0.1868
Sb1 Sb 0.6667 0.3333 0.5000
C1 C 0.3333 0.6667 0.2668
# Calculated volume: 18.87 A^3/atom
# Electronic total energy: -63.9 eV for the cell shown


# LaTmNO | the Open Quantum Materials Database | PBE-GGA | relaxed
data_LaTmNO
_chemical_formula_sum 'La2 Tm2 N2 O2'
_cell_length_a 4.9810
_cell_length_b 4.0126
_cell_length_c 7.1827
_cell_angle_alpha 90.00
_cell_angle_beta 90.00
_cell_angle_gamma 90.00
_space_group_name_H-M_alt 'P m m a'
_space_group_IT_number 51
loop_
_space_group_symop_operation_xyz
'x,y,z'
'-x,-y,-z'
'-x+1/2,-y,z'
'x+1/2,y,-z'
'x+1/2,-y,-z'
'-x+1/2,y,z'
'-x,y,-z'
'x,-y,z'
loop_
_atom_site_label
_atom_site_type_symbol
_atom_site_fract_x
_atom_site_fract_y
_atom_site_fract_z
La1 La 0.2500 0.0000 0.1616
Tm1 Tm 0.2500 0.5000 0.6573
N1 N 0.2500 0.5000 0.3496
O1 O 0.2500 0.0000 0.7891
# Calculated volume: 17.94 A^3/atom
# Electronic total energy: -62.9 eV for the cell shown


Question: Which value of electronic total energy does entry 2 give?
Answer: -63.9 eV for the cell shown


Question: The highest electronic total energy belongs to which entry?
Answer: TbYTlPd2


Question: The highest electronic total energy belongs to which entry?
Answer: TbYTlPd2